1.
ScTlOsO6 | PBE-GGA | optimized geometry

```
ScTlOsO6
1.0
5.391 0.000 0.000
2.696 4.669 0.000
0.000 0.000 5.388
Sc O Tl Os
1 6 1 1
Direct
0.667 0.667 0.500
0.373 0.030 0.703
0.598 0.030 0.297
0.030 0.373 0.297
0.598 0.373 0.703
0.373 0.598 0.297
0.030 0.598 0.703
0.000 0.000 0.000
0.333 0.333 0.500
```

2.
ScTl2OsO6 | PBE-GGA | optimized geometry

```
ScTl2OsO6
1.0
5.395 0.000 0.000
0.000 6.419 0.000
0.000 -3.210 5.559
Tl O Sc Os
2 6 1 1
Direct
0.945 0.667 0.333
0.055 0.333 0.667
0.216 0.863 0.137
0.784 0.726 0.863
0.216 0.863 0.726
0.784 0.137 0.274
0.216 0.274 0.137
0.784 0.137 0.863
0.500 0.000 0.000
0.000 0.000 0.000
```

3.
TmSc2OsO8 | PBE-GGA | optimized geometry

```
TmSc2OsO8
1.0
-3.263 -0.734 -3.514
3.030 -3.115 -2.157
-2.574 -4.862 3.406
O Os Tm Sc
8 1 1 2
Direct
0.314 0.313 0.500
0.686 0.687 0.500
0.807 0.193 0.784
0.275 0.274 0.000
0.808 0.193 0.216
0.192 0.807 0.784
0.193 0.807 0.216
0.725 0.726 0.000
0.000 0.000 0.000
0.000 0.000 0.500
0.500 0.500 0.260
0.500 0.500 0.740
```

no.,ΔE_f (raw) (eV/atom),N(E_F) (states/eV/cell),E (hartree per atom)
1,-1.566,1.37,-0.260
2,-1.374,4.89,-0.242
3,-2.538,2.52,-0.302